# 1
DFT (PBE) results for Dy6Ho3Pu after structural relaxation.

Geometry as CIF:
```
data_Dy6Ho3Pu
_space_group_name_H-M_alt 'P 1'
_space_group_IT_number 1
_cell_length_a 9.5377
_cell_length_b 9.5394
_cell_length_c 6.6886
_cell_angle_alpha 45.55
_cell_angle_beta 45.53
_cell_angle_gamma 63.52
loop_
_space_group_symop_operation_xyz
'x,y,z'
loop_
_atom_site_label
_atom_site_type_symbol
_atom_site_fract_x
_atom_site_fract_y
_atom_site_fract_z
Dy1 Dy 0.2420 0.9567 0.2007
Dy2 Dy 0.7887 0.0112 0.7998
Ho1 Ho 0.5620 0.6428 0.0629
Ho2 Ho 0.4632 0.3370 0.7999
Dy3 Dy 0.8435 0.5586 0.3987
Dy4 Dy 0.0331 0.4501 0.8714
Dy5 Dy 0.3498 0.7669 0.7288
Ho3 Ho 0.1566 0.2377 0.5377
Pu1 Pu 0.9347 0.8653 0.3003
Dy6 Dy 0.6264 0.1735 0.2999
```

Space group: C2 (5)
Total magnetic moment, μB/atom: 0.638
Fermi-level density of states, states/eV/f.u.: 14.27

---

# 2
DFT (PBE) results for DyHoPu after structural relaxation.

Geometry as CIF:
```
data_DyHoPu
_space_group_name_H-M_alt 'P 1'
_space_group_IT_number 1
_cell_length_a 3.4905
_cell_length_b 3.4905
_cell_length_c 7.7763
_cell_angle_alpha 102.97
_cell_angle_beta 102.97
_cell_angle_gamma 90.00
loop_
_space_group_symop_operation_xyz
'x,y,z'
loop_
_atom_site_label
_atom_site_type_symbol
_atom_site_fract_x
_atom_site_fract_y
_atom_site_fract_z
Dy1 Dy 0.3357 0.3357 0.6713
Pu1 Pu 0.0002 0.0002 0.0004
Ho1 Ho 0.6641 0.6641 0.3283
```

Space group: I4mm (107)
Total magnetic moment, μB/atom: 2.043
Fermi-level density of states, states/eV/f.u.: 7.25
Energy relative to the lowest polymorph listed for this composition, eV per atom: 0.000

---

no.,ΔE_f (eV/atom)
1,0.173
2,0.108